Record 1
The following is a DFT calculation (PBE) of a geometry-optimized ScCoSiNi structure.

Results
For the polymorph energy (0 for the lowest one), the calculation gives 1.142 eV/f.u. The crystal system is cubic. Its magnetic moment is 0.267 μB per atom.

POSCAR file:
```
ScCoSiNi
1.0
0.0000 2.9847 2.9847
2.9847 0.0000 2.9847
2.9847 2.9847 0.0000
Co Ni Sc Si
1 1 1 1
direct
0.0000 0.0000 0.0000
0.7500 0.7500 0.7500
0.5000 0.5000 0.5000
0.2500 0.2500 0.2500
```

Record 2
The following is a DFT calculation (PBE) of a geometry-optimized LiFe2Si structure.

Results
The crystal system is cubic. Its magnetic moment is 0.623 μB per atom. As for the electronic total energy: -6.03 eV per atom.

POSCAR file:
```
LiFe2Si
1.0
-5.4952 -0.9896 -0.1254
0.9338 -5.3503 1.3021
-0.3508 1.2602 5.4297
Fe Li Si
8 4 4
direct
0.2404 0.2404 0.2404
0.7596 0.2404 0.2404
0.2404 0.7596 0.2404
0.7596 0.7596 0.2404
0.2404 0.2404 0.7596
0.7596 0.2404 0.7596
0.2404 0.7596 0.7596
0.7596 0.7596 0.7596
0.5000 0.5000 0.0000
0.5000 0.0000 0.5000
0.0000 0.5000 0.5000
0.5000 0.5000 0.5000
0.0000 0.0000 0.0000
0.5000 0.0000 0.0000
0.0000 0.5000 0.0000
0.0000 0.0000 0.5000
```

Record 3
The following is a DFT calculation (PBE) of a geometry-optimized KAu4 structure.

Results
The crystal system is tetragonal. As for the electronic total energy: -2.95 eV per atom.

POSCAR file:
```
KAu4
1.0
-2.1199 2.1199 6.5323
2.1199 -2.1199 6.5323
2.1199 2.1199 -6.5323
Au K
4 1
direct
0.3972 0.3972 0.0000
0.6028 0.6028 0.0000
0.7500 0.2500 0.5000
0.2500 0.7500 0.5000
0.0000 0.0000 0.0000
```

Record 4
The following is a DFT calculation (PBE) of a geometry-optimized TcF2 structure.

Results
For the polymorph energy (0 for the lowest one), the calculation gives 0.000 eV/f.u. The crystal system is tetragonal. Its magnetic moment is 1.665 μB per atom.

POSCAR file:
```
TcF2
1.0
-3.1310 -3.8650 1.3553
2.0937 -0.0441 4.7109
-2.4763 2.3999 1.1231
F Tc
4 2
direct
0.3035 0.3035 0.0000
0.6965 0.6965 0.0000
0.8035 0.1965 0.5000
0.1965 0.8035 0.5000
0.0000 0.0000 0.0000
0.5000 0.5000 0.5000
```

Record 5
The following is a DFT calculation (PBE) of a geometry-optimized Cu2SnP2 structure.

Results
The crystal system is orthorhombic. As for the electronic total energy: -4.41 eV per atom.

POSCAR file:
```
Cu2SnP2
1.0
1.5948 -5.4205 0.0000
1.5948 5.4205 0.0000
0.0000 0.0000 10.6823
Cu P Sn
4 4 2
direct
0.0000 0.0000 0.0000
0.2261 0.7739 0.2500
0.0000 0.0000 0.5000
0.7739 0.2261 0.7500
0.1990 0.8010 0.0465
0.1990 0.8010 0.4535
0.8010 0.1990 0.5465
0.8010 0.1990 0.9535
0.4763 0.5237 0.2500
0.5237 0.4763 0.7500
```

Record 6
The following is a DFT calculation (PBE) of a geometry-optimized NaYCdTe3 structure.

Results
For the polymorph energy (0 for the lowest one), the calculation gives 0.007 eV/f.u. The crystal system is orthorhombic. Its magnetic moment is 0.000 μB per atom.

POSCAR file:
```
NaYCdTe3
1.0
1.1711 6.0220 -4.7084
-3.5195 -6.8011 1.0787
-9.1919 5.5124 4.7640
Cd Na Te Y
2 2 6 2
direct
0.0301 0.9699 0.2500
0.9699 0.0301 0.7500
0.7313 0.2687 0.2500
0.2687 0.7313 0.7500
0.1414 0.8586 0.0560
0.4072 0.5928 0.2500
0.1414 0.8586 0.4440
0.8586 0.1414 0.5560
0.5928 0.4072 0.7500
0.8586 0.1414 0.9440
0.5000 0.5000 0.0000
0.5000 0.5000 0.5000
```

Record 7
The following is a DFT calculation (PBE) of a geometry-optimized AgGeSO structure.

Results
For the polymorph energy (0 for the lowest one), the calculation gives 0.063 eV/f.u. The crystal system is orthorhombic.

POSCAR file:
```
AgGeSO
1.0
-2.6901 -1.7854 6.5713
1.5207 -7.6347 -1.4518
4.8300 0.5573 2.1287
Ag Ge O S
4 4 4 4
direct
0.6520 0.4411 0.0422
0.3480 0.9411 0.4578
0.8480 0.5589 0.5422
0.1520 0.0589 0.9578
0.1250 0.5411 0.0691
0.8750 0.0411 0.4309
0.3750 0.4589 0.5691
0.6250 0.9589 0.9309
0.3408 0.4856 0.2287
0.6592 0.9856 0.2713
0.1592 0.5144 0.7287
0.8408 0.0144 0.7713
0.9311 0.3261 0.2280
0.0689 0.8261 0.2720
0.5689 0.6739 0.7280
0.4311 0.1739 0.7720
```

Record 8
The following is a DFT calculation (PBE) of a geometry-optimized ZrBi structure.

Results
The crystal system is orthorhombic. Its magnetic moment is 0.004 μB per atom. As for the electronic total energy: -6.49 eV per atom.

POSCAR file:
```
ZrBi
1.0
5.6193 0.0000 0.0000
0.0000 9.9617 0.0000
0.0000 0.0000 5.4554
Bi Zr
6 6
direct
0.4403 0.1429 0.0000
0.9403 0.6905 0.0000
0.8914 0.1363 0.5000
0.3486 0.3449 0.5000
0.8486 0.4884 0.5000
0.3914 0.6970 0.5000
0.9282 0.0043 0.0000
0.9906 0.3291 0.0000
0.4906 0.5043 0.0000
0.4282 0.8291 0.0000
0.4008 0.0071 0.5000
0.9008 0.8263 0.5000
```

Record 9
The following is a DFT calculation (PBE) of a geometry-optimized Li2CdPb structure.

Results
For the polymorph energy (0 for the lowest one), the calculation gives 0.383 eV/f.u. The crystal system is hexagonal.

POSCAR file:
```
Li2CdPb
1.0
-2.0469 3.9500 -1.6661
-2.6826 -3.5099 1.7472
0.4482 3.4238 7.5664
Cd Li Pb
2 4 2
direct
0.3333 0.6667 0.2500
0.6667 0.3333 0.7500
0.6667 0.3333 0.0847
0.6667 0.3333 0.4153
0.3333 0.6667 0.5847
0.3333 0.6667 0.9153
0.0000 0.0000 0.0000
0.0000 0.0000 0.5000
```

Record 10
The following is a DFT calculation (PBE) of a geometry-optimized RbTaAgTeS2 structure.

Results
The crystal system is orthorhombic. Its magnetic moment is 0.058 μB per atom. As for the electronic total energy: -5.09 eV per atom.

POSCAR file:
```
RbTaAgTeS2
1.0
-3.3503 1.1725 7.6848
2.5897 -4.6250 -6.5999
9.5834 -0.7618 4.2942
Ag Rb S Ta Te
2 2 4 2 2
direct
0.4619 0.5381 0.2500
0.5381 0.4619 0.7500
0.7782 0.2218 0.2500
0.2218 0.7782 0.7500
0.3984 0.6016 0.0406
0.3984 0.6016 0.4594
0.6016 0.3984 0.5406
0.6016 0.3984 0.9594
0.0000 0.0000 0.0000
0.0000 0.0000 0.5000
0.0868 0.9132 0.2500
0.9132 0.0868 0.7500
```

Record 11
The following is a DFT calculation (PBE) of a geometry-optimized MgInFeOs structure.

Results
For the polymorph energy (0 for the lowest one), the calculation gives 0.000 eV/f.u. The crystal system is cubic. Its magnetic moment is 0.752 μB per atom.

POSCAR file:
```
MgInFeOs
1.0
-3.6847 1.0445 2.2899
-2.3427 3.6403 -1.0824
-4.0093 -0.4145 -1.9146
Fe In Mg Os
1 1 1 1
direct
0.7500 0.7500 0.7500
0.0000 0.0000 0.0000
0.2500 0.2500 0.2500
0.5000 0.5000 0.5000
```

Record 12
The following is a DFT calculation (PBE) of a geometry-optimized Pm2In structure.

Results
For the polymorph energy (0 for the lowest one), the calculation gives 0.000 eV/f.u. The crystal system is orthorhombic. Its magnetic moment is 0.004 μB per atom.

POSCAR file:
```
Pm2In
1.0
-3.7086 -4.8726 3.0677
2.7975 -3.7496 -2.5738
6.6056 -0.2647 7.5653
In Pm
4 8
direct
0.7847 0.7500 0.1041
0.2847 0.7500 0.3959
0.7153 0.2500 0.6041
0.2153 0.2500 0.8959
0.3051 0.7500 0.0733
0.0291 0.2500 0.2114
0.5291 0.2500 0.2886
0.8051 0.7500 0.4267
0.1949 0.2500 0.5733
0.4709 0.7500 0.7114
0.9709 0.7500 0.7886
0.6949 0.2500 0.9267
```

Record 13
The following is a DFT calculation (PBE) of a geometry-optimized TaTeBr9 structure.

Results
The crystal system is monoclinic. Its magnetic moment is 0.001 μB per atom. As for the electronic total energy: -3.38 eV per atom.

POSCAR file:
```
TaTeBr9
1.0
-5.6681 -2.0769 -2.9493
5.7978 -8.6175 -5.0739
0.0470 -5.0754 8.6738
Br Ta Te
18 2 2
direct
0.2917 0.7500 0.0033
0.7633 0.5924 0.0154
0.7633 0.9076 0.0154
0.5400 0.5976 0.3081
0.5400 0.9024 0.3081
0.9992 0.7500 0.3178
0.0369 0.0851 0.3276
0.0369 0.4149 0.3276
0.5323 0.2500 0.3395
0.4677 0.7500 0.6605
0.9631 0.5851 0.6724
0.9631 0.9149 0.6724
0.0008 0.2500 0.6822
0.4600 0.0976 0.6919
0.4600 0.4024 0.6919
0.2367 0.0924 0.9846
0.2367 0.4076 0.9846
0.7083 0.2500 0.9967
0.6432 0.7500 0.1400
0.3568 0.2500 0.8600
0.2403 0.2500 0.4631
0.7597 0.7500 0.5369
```

Record 14
The following is a DFT calculation (PBE) of a geometry-optimized HoTlHgTe3 structure.

Results
For the polymorph energy (0 for the lowest one), the calculation gives 0.378 eV/f.u. The crystal system is monoclinic. Its magnetic moment is 0.002 μB per atom.

POSCAR file:
```
HoTlHgTe3
1.0
-3.4310 4.6738 8.1734
-6.8895 2.2950 6.9057
4.0192 -7.8191 3.7078
Hg Ho Te Tl
2 2 6 2
direct
0.5378 0.5378 0.2222
0.4622 0.4622 0.7778
0.1751 0.1751 0.0876
0.8249 0.8249 0.9124
0.0000 0.0000 0.0000
0.3328 0.3328 0.1361
0.6874 0.6874 0.3191
0.5000 0.5000 0.5000
0.3126 0.3126 0.6809
0.6672 0.6672 0.8639
0.8673 0.8673 0.4226
0.1327 0.1327 0.5774
```

Record 15
The following is a DFT calculation (PBE) of a geometry-optimized NdYAsO structure.

Results
For the polymorph energy (0 for the lowest one), the calculation gives 0.705 eV/f.u. The crystal system is tetragonal. Its magnetic moment is 0.005 μB per atom.

POSCAR file:
```
NdYAsO
1.0
4.3233 0.0000 0.0000
0.0000 4.3233 0.0000
0.0000 0.0000 9.1984
As Nd O Y
2 2 2 2
direct
0.0000 0.5000 0.2818
0.5000 0.0000 0.7182
0.0000 0.0000 0.5000
0.5000 0.5000 0.5000
0.0000 0.0000 0.0000
0.5000 0.5000 0.0000
0.5000 0.0000 0.0965
0.0000 0.5000 0.9035
```

Record 16
The following is a DFT calculation (PBE) of a geometry-optimized AcZrSi structure.

Results
For the polymorph energy (0 for the lowest one), the calculation gives 0.000 eV/f.u. The crystal system is cubic. Its magnetic moment is 0.005 μB per atom.

POSCAR file:
```
AcZrSi
1.0
0.0000 3.4846 3.4846
3.4846 0.0000 3.4846
3.4846 3.4846 0.0000
Ac Si Zr
1 1 1
direct
0.2500 0.2500 0.2500
0.0000 0.0000 0.0000
0.7500 0.7500 0.7500
```

Record 17
The following is a DFT calculation (PBE) of a geometry-optimized PaCd2As4 structure.

Results
The crystal system is tetragonal. Its magnetic moment is 0.001 μB per atom. As for the electronic total energy: -4.13 eV per atom.

POSCAR file:
```
PaCd2As4
1.0
-2.7575 2.7575 6.7567
2.7575 -2.7575 6.7567
2.7575 2.7575 -6.7567
As Cd Pa
4 2 1
direct
0.2024 0.2024 0.0000
0.7976 0.7976 0.0000
0.5000 0.0000 0.5000
0.0000 0.5000 0.5000
0.3919 0.3919 0.0000
0.6081 0.6081 0.0000
0.0000 0.0000 0.0000
```

Record 18
The following is a DFT calculation (PBE) of a geometry-optimized Cd2HgBi structure.

Results
The crystal system is cubic. As for the electronic total energy: -1.44 eV per atom.

POSCAR file:
```
Cd2HgBi
1.0
0.0000 3.7285 3.7285
3.7285 0.0000 3.7285
3.7285 3.7285 0.0000
Bi Cd Hg
1 2 1
direct
0.5000 0.5000 0.5000
0.0000 0.0000 0.0000
0.7500 0.7500 0.7500
0.2500 0.2500 0.2500
```

Record 19
The following is a DFT calculation (PBE) of a geometry-optimized UMoOs structure.

Results
The energy of formation comes out at 0.78 eV per atom. For the polymorph energy (0 for the lowest one), the calculation gives 0.626 eV/f.u. The crystal system is cubic. Its magnetic moment is 0.005 μB per atom.

POSCAR file:
```
UMoOs
1.0
0.0000 3.1149 3.1149
3.1149 0.0000 3.1149
3.1149 3.1149 0.0000
Mo Os U
1 1 1
direct
0.2500 0.2500 0.2500
0.7500 0.7500 0.7500
0.0000 0.0000 0.0000
```

Record 20
The following is a DFT calculation (PBE) of a geometry-optimized ZrTa3C structure.

Results
The crystal system is cubic. Its magnetic moment is 0.005 μB per atom. As for the electronic total energy: -10.84 eV per atom.

POSCAR file:
```
ZrTa3C
1.0
4.3892 0.0000 0.0000
0.0000 4.3892 0.0000
0.0000 0.0000 4.3892
C Ta Zr
1 3 1
direct
0.0000 0.0000 0.0000
0.5000 0.0000 0.0000
0.0000 0.5000 0.0000
0.0000 0.0000 0.5000
0.5000 0.5000 0.5000
```